Record 1
First-principles (SCAN) data for a crystal of Li2AlOs relaxed with PBEsol, as listed in the Alexandria database.

Calculated values
ΔH_f (0 K) = -0.1782 eV/atom

The structure in CIF format:
```
data_Li2AlOs
_chemical_formula_sum 'Li4 Al2 Os2'
_cell_length_a 2.7788
_cell_length_b 4.2543
_cell_length_c 9.2446
_cell_angle_alpha 90.00
_cell_angle_beta 90.00
_cell_angle_gamma 90.00
_space_group_name_H-M_alt 'I m m m'
_space_group_IT_number 71
_space_group_name_Hall '-I 2 2'
loop_
_atom_site_label
_atom_site_type_symbol
_atom_site_fract_x
_atom_site_fract_y
_atom_site_fract_z
Li1 Li 0.0000 0.0000 0.2488
Al1 Al 0.0000 0.5000 0.0000
Os1 Os 0.0000 0.5000 0.5000
```

=====

Record 2
First-principles (SCAN) data for a crystal of Li2AlOs relaxed with PBEsol, as listed in the Alexandria database.

Calculated values
ΔH_f (0 K) = 0.3956 eV/atom

The structure in CIF format:
```
data_Li2AlOs
_chemical_formula_sum 'Li8 Al4 Os4'
_cell_length_a 6.7503
_cell_length_b 6.7503
_cell_length_c 4.8467
_cell_angle_alpha 90.00
_cell_angle_beta 90.00
_cell_angle_gamma 90.00
_space_group_name_H-M_alt 'I -4 2 d'
_space_group_IT_number 122
_space_group_name_Hall 'I -4 2bw'
loop_
_atom_site_label
_atom_site_type_symbol
_atom_site_fract_x
_atom_site_fract_y
_atom_site_fract_z
Li1 Li 0.2482 0.7500 0.1250
Al1 Al 0.0000 0.0000 0.0000
Os1 Os 0.0000 0.0000 0.5000
```

=====

Record 3
First-principles (SCAN) data for a crystal of LiAlOs3 relaxed with PBEsol, as listed in the Alexandria database.

Calculated values
ΔH_f (0 K) = 1.6238 eV/atom

The structure in CIF format:
```
data_LiAlOs3
_chemical_formula_sum 'Li1 Al1 Os3'
_cell_length_a 4.4163
_cell_length_b 4.4163
_cell_length_c 4.4163
_cell_angle_alpha 90.00
_cell_angle_beta 90.00
_cell_angle_gamma 90.00
_space_group_name_H-M_alt 'P m -3 m'
_space_group_IT_number 221
_space_group_name_Hall '-P 4 2 3'
loop_
_atom_site_label
_atom_site_type_symbol
_atom_site_fract_x
_atom_site_fract_y
_atom_site_fract_z
Li1 Li 0.0000 0.0000 0.0000
Al1 Al 0.5000 0.5000 0.5000
Os1 Os 0.0000 0.5000 0.5000
```

=====

Record 4
First-principles (SCAN) data for a crystal of LiAl2Os relaxed with PBEsol, as listed in the Alexandria database.

Calculated values
polymorph energy (0 for the lowest one) = 0.00 eV per formula unit
ΔH_f (0 K) = -0.5371 eV/atom

The structure in CIF format:
```
data_LiAl2Os
_chemical_formula_sum 'Li4 Al8 Os4'
_cell_length_a 6.0002
_cell_length_b 6.0002
_cell_length_c 6.0002
_cell_angle_alpha 90.00
_cell_angle_beta 90.00
_cell_angle_gamma 90.00
_space_group_name_H-M_alt 'F m -3 m'
_space_group_IT_number 225
_space_group_name_Hall '-F 4 2 3'
loop_
_atom_site_label
_atom_site_type_symbol
_atom_site_fract_x
_atom_site_fract_y
_atom_site_fract_z
Li1 Li 0.0000 0.0000 0.0000
Al1 Al 0.2500 0.2500 0.2500
Os1 Os 0.0000 0.0000 0.5000
```

=====

Record 5
First-principles (SCAN) data for a crystal of LiAlOs2 relaxed with PBEsol, as listed in the Alexandria database.

Calculated values
ΔH_f (0 K) = -0.1797 eV/atom

The structure in CIF format:
```
data_LiAlOs2
_chemical_formula_sum 'Li1 Al1 Os2'
_cell_length_a 2.9121
_cell_length_b 2.9121
_cell_length_c 6.0476
_cell_angle_alpha 90.00
_cell_angle_beta 90.00
_cell_angle_gamma 90.00
_space_group_name_H-M_alt 'P 4 m m'
_space_group_IT_number 99
loop_
_space_group_symop_operation_xyz
'x,y,z'
'-y,x,z'
'-x,-y,z'
'y,-x,z'
'-x,y,z'
'y,x,z'
'x,-y,z'
'-y,-x,z'
loop_
_atom_site_label
_atom_site_type_symbol
_atom_site_fract_x
_atom_site_fract_y
_atom_site_fract_z
Li1 Li 0.0000 0.0000 0.0000
Al1 Al 0.5000 0.5000 0.7752
Os1 Os 0.0000 0.0000 0.5022
Os2 Os 0.5000 0.5000 0.2366
```

=====

Record 6
First-principles (SCAN) data for a crystal of LiAlOs2 relaxed with PBEsol, as listed in the Alexandria database.

Calculated values
ΔH_f (0 K) = 0.0559 eV/atom

The structure in CIF format:
```
data_LiAlOs2
_chemical_formula_sum 'Li2 Al2 Os4'
_cell_length_a 3.6882
_cell_length_b 3.6882
_cell_length_c 7.9325
_cell_angle_alpha 90.00
_cell_angle_beta 90.00
_cell_angle_gamma 90.00
_space_group_name_H-M_alt 'I 4/m m m'
_space_group_IT_number 139
_space_group_name_Hall '-I 4 2'
loop_
_atom_site_label
_atom_site_type_symbol
_atom_site_fract_x
_atom_site_fract_y
_atom_site_fract_z
Li1 Li 0.0000 0.0000 0.0000
Al1 Al 0.0000 0.0000 0.5000
Os1 Os 0.0000 0.5000 0.2500
```

=====

Record 7
First-principles (SCAN) data for a crystal of LiAl2Os relaxed with PBEsol, as listed in the Alexandria database.

Calculated values
polymorph energy (0 for the lowest one) = 1.32 eV per formula unit
ΔH_f (0 K) = -0.2078 eV/atom

The structure in CIF format:
```
data_LiAl2Os
_chemical_formula_sum 'Li2 Al4 Os2'
_cell_length_a 8.6136
_cell_length_b 2.6622
_cell_length_c 5.0246
_cell_angle_alpha 90.00
_cell_angle_beta 96.35
_cell_angle_gamma 90.00
_space_group_name_H-M_alt 'C 1 2/m 1'
_space_group_IT_number 12
loop_
_space_group_symop_operation_xyz
'x,y,z'
'-x,-y,-z'
'-x,y,-z'
'x,-y,z'
'x+1/2,y+1/2,z'
'-x+1/2,-y+1/2,-z'
'-x+1/2,y+1/2,-z'
'x+1/2,-y+1/2,z'
loop_
_atom_site_label
_atom_site_type_symbol
_atom_site_fract_x
_atom_site_fract_y
_atom_site_fract_z
Li1 Li 0.0000 0.0000 0.0000
Al1 Al 0.2396 0.0000 0.7368
Os1 Os 0.0000 0.5000 0.5000
```

=====

Record 8
First-principles (SCAN) data for a crystal of LiAl2Os relaxed with PBEsol, as listed in the Alexandria database.

Calculated values
polymorph energy (0 for the lowest one) = 0.32 eV per formula unit
ΔH_f (0 K) = -0.4576 eV/atom

The structure in CIF format:
```
data_LiAl2Os
_chemical_formula_sum 'Li1 Al2 Os1'
_cell_length_a 4.2197
_cell_length_b 4.2197
_cell_length_c 3.0245
_cell_angle_alpha 90.00
_cell_angle_beta 90.00
_cell_angle_gamma 90.00
_space_group_name_H-M_alt 'P 4/m m m'
_space_group_IT_number 123
_space_group_name_Hall '-P 4 2'
loop_
_atom_site_label
_atom_site_type_symbol
_atom_site_fract_x
_atom_site_fract_y
_atom_site_fract_z
Li1 Li 0.0000 0.0000 0.0000
Al1 Al 0.0000 0.5000 0.5000
Os1 Os 0.5000 0.5000 0.0000
```